Version i
VASP calculation (PBE) on a relaxed Al2CdS crystal.

Values from the calculation:
Its space group is I-42d, No. 122.

Cell: 6.183 6.183 6.804 Å, 62.98 62.98 90.00°
Element x y z (fractional)
1 Al 0.875 0.844 0.750
2 Al 0.375 0.406 0.750
3 Al 0.594 0.125 0.250
4 Al 0.156 0.625 0.250
5 Cd 0.000 0.000 0.000
6 Cd 0.750 0.250 0.500
7 S 0.500 0.500 0.000
8 S 0.250 0.750 0.500


Version ii
VASP calculation (PBE) on a relaxed Al2CdS crystal.

Values from the calculation:
Its space group is Fm-3m, No. 225.

Cell: 4.799 4.799 4.799 Å, 60.00 60.00 60.00°
Element x y z (fractional)
1 Al 0.250 0.250 0.250
2 Al 0.750 0.750 0.750
3 Cd 0.500 0.500 0.500
4 S 0.000 0.000 0.000


What is the stability order? It is version i, version ii, from most stable to least stable.


Version i
VASP calculation (PBE) on a relaxed AlCd3S crystal.

Values from the calculation:
Its space group is Pm-3m, No. 221.

Cell: 5.170 5.170 5.170 Å, 90.00 90.00 90.00°
Last column: magnetic moment on the atom in μB.
Element x y z (fractional)
1 Cd 0.000 0.000 0.500  0.03
2 Cd 0.500 0.000 0.000  0.02
3 Cd 0.000 0.500 0.000  0.03
4 Al 0.000 0.000 0.000  0.07
5 S 0.500 0.500 0.500  0.38


Version ii
VASP calculation (PBE) on a relaxed AlCd3S crystal.

Values from the calculation:
Its space group is Pm-3m, No. 221.

Cell: 5.173 5.173 5.173 Å, 90.00 90.00 90.00°
Element x y z (fractional)
1 Cd 0.000 0.500 0.000
2 Cd 0.500 0.000 0.000
3 Cd 0.000 0.000 0.500
4 Al 0.500 0.500 0.500
5 S 0.000 0.000 0.000


What is the stability order? It is version i, version ii, from most stable to least stable.


Version i
VASP calculation (PBE) on a relaxed AlCdSb2 crystal.

Values from the calculation:
Its space group is Imm2, No. 44.

Cell: 6.988 6.988 6.988 Å, 147.85 145.31 48.02°
Element x y z (fractional)
1 Sb 0.696 0.196 0.500
2 Sb 0.976 0.976 0.000
3 Al 0.530 0.530 0.000
4 Cd 0.297 0.797 0.500


Version ii
VASP calculation (PBE) on a relaxed AlCdSb2 crystal.

Values from the calculation:
Its space group is Cmmm, No. 65.

Cell: 3.401 3.401 8.967 Å, 90.00 90.00 106.43°
Element x y z (fractional)
1 Al 0.500 0.500 0.250
2 Cd 0.500 0.500 0.750
3 Sb 0.000 0.000 0.022
4 Sb 0.000 0.000 0.478


What is the stability order? It is version i, version ii, from most stable to least stable.


Version i
VASP calculation (PBE) on a relaxed AlCdSb2 crystal.

Values from the calculation:
Its space group is Cmm2, No. 35.

Cell: 3.171 3.171 9.979 Å, 90.00 90.00 102.65°
Element x y z (fractional)
1 Cd 0.500 0.500 0.727
2 Al 0.000 0.000 0.510
3 Sb 0.000 0.000 0.975
4 Sb 0.500 0.500 0.289


Version ii
VASP calculation (PBE) on a relaxed AlCdSb2 crystal.

Values from the calculation:
Its space group is R3m, No. 160.

Cell: 10.318 10.318 10.318 Å, 18.96 18.96 18.96°
Element x y z (fractional)
1 Al 0.495 0.495 0.495
2 Sb 0.015 0.015 0.015
3 Sb 0.232 0.232 0.232
4 Cd 0.758 0.758 0.758


What is the stability order? It is version ii, version i, from most stable to least stable.


Version i
VASP calculation (PBE) on a relaxed AlCdSb2 crystal.

Values from the calculation:
Its space group is P4/mmm, No. 123.

Cell: 5.365 5.365 3.383 Å, 90.00 90.00 89.99°
Element x y z (fractional)
1 Al 0.500 0.000 0.500
2 Cd 0.000 0.500 0.500
3 Sb 0.500 0.500 0.000
4 Sb 0.000 0.000 0.000


Version ii
VASP calculation (PBE) on a relaxed AlCdSb2 crystal.

Values from the calculation:
Its space group is I-42d, No. 122.

Cell: 6.470 6.470 7.724 Å, 65.24 65.24 90.00°
Element x y z (fractional)
1 Sb 0.145 0.625 0.250
2 Sb 0.375 0.395 0.750
3 Sb 0.875 0.855 0.750
4 Sb 0.605 0.125 0.250
5 Cd 0.000 0.000 0.000
6 Cd 0.750 0.250 0.500
7 Al 0.250 0.750 0.500
8 Al 0.500 0.500 0.000


Version iii
VASP calculation (PBE) on a relaxed AlCdSb2 crystal.

Values from the calculation:
Its space group is R-3m, No. 166.

Cell: 10.942 10.942 10.942 Å, 17.37 17.37 17.37°
Element x y z (fractional)
1 Sb 0.987 0.987 0.987
2 Sb 0.513 0.513 0.513
3 Cd 0.750 0.750 0.750
4 Al 0.250 0.250 0.250


Version iv
VASP calculation (PBE) on a relaxed AlCdSb2 crystal.

Values from the calculation:
Its space group is Pmmm, No. 47.

Cell: 3.416 3.753 7.664 Å, 90.00 90.00 90.00°
Element x y z (fractional)
1 Cd 0.500 0.500 0.750
2 Al 0.500 0.500 0.250
3 Sb 0.000 0.000 0.466
4 Sb 0.000 0.000 0.034


What is the stability order? It is version ii, version iii, version iv, version i, from most stable to least stable.


Version i
VASP calculation (PBE) on a relaxed AlCd2Sb crystal.

Values from the calculation:
Its space group is I-42d, No. 122.

Cell: 8.093 8.093 6.460 Å, 51.21 51.21 90.00°
Element x y z (fractional)
1 Al 0.500 0.500 0.000
2 Al 0.250 0.750 0.500
3 Cd 0.613 0.125 0.250
4 Cd 0.875 0.863 0.750
5 Cd 0.375 0.387 0.750
6 Cd 0.137 0.625 0.250
7 Sb 0.000 0.000 0.000
8 Sb 0.750 0.250 0.500


Version ii
VASP calculation (PBE) on a relaxed AlCd2Sb crystal.

Values from the calculation:
Its space group is Cm, No. 8.

Cell: 5.342 5.342 5.809 Å, 79.40 79.40 34.96°
Element x y z (fractional)
1 Al 0.744 0.744 0.747
2 Cd 0.005 0.005 0.010
3 Cd 0.257 0.257 0.214
4 Sb 0.494 0.494 0.528


Version iii
VASP calculation (PBE) on a relaxed AlCd2Sb crystal.

Values from the calculation:
Its space group is Imm2, No. 44.

Cell: 6.812 6.812 6.812 Å, 150.39 141.02 49.71°
Element x y z (fractional)
1 Sb 0.448 0.448 0.000
2 Al 0.262 0.762 0.500
3 Cd 0.058 0.058 0.000
4 Cd 0.733 0.233 0.500


What is the stability order? It is version iii, version ii, version i, from most stable to least stable.


Version i
VASP calculation (PBE) on a relaxed AlCd2Sb crystal.

Values from the calculation:
Its space group is P4/mmm, No. 123.

Cell: 3.178 3.178 9.137 Å, 90.00 90.00 90.00°
Element x y z (fractional)
1 Sb 0.500 0.500 0.250
2 Al 0.500 0.500 0.750
3 Cd 0.000 0.000 0.528
4 Cd 0.000 0.000 0.972


Version ii
VASP calculation (PBE) on a relaxed AlCd2Sb crystal.

Values from the calculation:
Its space group is C2/m, No. 12.

Cell: 5.887 5.887 5.477 Å, 71.90 71.90 31.02°
Element x y z (fractional)
1 Cd 0.484 0.484 0.514
2 Cd 0.016 0.016 0.986
3 Sb 0.250 0.250 0.250
4 Al 0.750 0.750 0.750


What is the stability order? It is version ii, version i, from most stable to least stable.


Version i
VASP calculation (PBE) on a relaxed AlCdSb crystal.

Values from the calculation:
Its space group is Cm, No. 8.

Cell: 5.145 4.470 7.415 Å, 90.00 116.15 90.00°
Element x y z (fractional)
1 Al 0.418 0.500 0.746
2 Al 0.418 0.000 0.246
3 Cd 0.728 0.000 0.009
4 Cd 0.728 0.500 0.509
5 Sb 0.131 0.000 0.492
6 Sb 0.131 0.500 0.992


Version ii
VASP calculation (PBE) on a relaxed AlCdSb crystal.

Values from the calculation:
Its space group is P1, No. 1.

Cell: 3.229 4.086 6.279 Å, 74.00 83.69 69.51°
Element x y z (fractional)
1 Cd 0.714 0.762 0.684
2 Al 0.059 0.009 0.008
3 Sb 0.735 0.466 0.288


Version iii
VASP calculation (PBE) on a relaxed AlCdSb crystal.

Values from the calculation:
Its space group is P2_1/m, No. 11.

Cell: 4.897 4.220 7.826 Å, 90.00 107.91 90.00°
Element x y z (fractional)
1 Al 0.241 0.250 0.977
2 Al 0.759 0.750 0.023
3 Sb 0.359 0.750 0.226
4 Sb 0.641 0.250 0.774
5 Cd 0.918 0.250 0.357
6 Cd 0.082 0.750 0.643


Version iv
VASP calculation (PBE) on a relaxed AlCdSb crystal.

Values from the calculation:
Its space group is P-1, No. 2.

Cell: 4.243 6.175 6.441 Å, 92.72 106.31 108.94°
Element x y z (fractional)
1 Sb 0.258 0.469 0.259
2 Sb 0.742 0.531 0.741
3 Cd 0.869 0.069 0.674
4 Cd 0.131 0.931 0.326
5 Al 0.446 0.775 0.960
6 Al 0.554 0.225 0.040


What is the stability order? It is version iii, version iv, version i, version ii, from most stable to least stable.